## 1
{
  "formula": "TeHPdRuPt",
  "functional": "GGA-PBE",
  "state": "optimized geometry",
  "lattice": [[4.1994, 0.0000, 0.0039], [0.0000, 3.0915, 0.0000], [-4.1365, 0.0000, 11.6445]],
  "species": ["Pd", "Pd", "Te", "Te", "Pt", "Pt", "Ru", "Ru", "H", "H"],
  "frac_coords": [[0.2313, 0.0000, 0.6249], [0.2313, 0.5000, 0.1249], [0.8673, 0.5000, 0.2719], [0.8673, 0.0000, 0.7719], [0.6273, 0.0000, 0.0264], [0.6273, 0.5000, 0.5264], [0.4278, 0.5000, 0.8383], [0.4278, 0.0000, 0.3383], [0.0394, 0.0000, 0.0297], [0.0394, 0.5000, 0.5297]],
  "sg": "No. 8"
}

***

## 2
{
  "formula": "TeHPdRuPt",
  "functional": "GGA-PBE",
  "state": "optimized geometry",
  "lattice": [[-2.7881, -0.9389, 1.1983], [2.2277, -3.7524, -0.5896], [2.8458, 1.1105, 4.7967]],
  "species": ["Ru", "Te", "H", "Pd", "Pt"],
  "frac_coords": [[0.4957, 0.9748, 0.8068], [0.8054, 0.7019, 0.4868], [0.0923, 0.2204, 0.8622], [0.4131, 0.1263, 0.2755], [0.9566, 0.5464, 0.0148]],
  "sg": "No. 1"
}

***

## 3
{
  "formula": "TeHPdRuPt",
  "functional": "GGA-PBE",
  "state": "optimized geometry",
  "lattice": [[4.2470, 0.0000, -0.0144], [0.0000, 2.9336, 0.0000], [-2.0490, 0.0000, 6.4759]],
  "species": ["Pd", "Pt", "Te", "Ru", "H"],
  "frac_coords": [[0.1301, 0.5000, 0.2032], [0.4988, 0.5000, 0.9143], [0.7638, 0.5000, 0.4656], [0.9381, 0.0000, 0.8026], [0.2390, 0.0000, 0.0603]],
  "sg": "No. 6"
}

***

Most stable structure among those shown: 3. Next: +0.029 eV/atom.